Entry 1:
Na2HfTa2Se6 | PBE | relaxed Values from VASP.

Values from the calculation:
- Fermi-level density of states (states/eV per cell) = 3.810
- final energy (eV per atom) = -6.210
- raw formation energy (kJ/mol of formula units) = -1072
- magnetization (μB per formula unit) = 0.000
- space group = C2/m (12)

Cell and atoms, written as Quantum ESPRESSO input:
```
&SYSTEM
  ibrav = 0, nat = 11, ntyp = 4
/
ATOMIC_SPECIES
Na 22.99 Na.upf
Hf 178.49 Hf.upf
Ta 180.95 Ta.upf
Se 78.96 Se.upf
CELL_PARAMETERS angstrom
-2.881 -3.973 -4.060
4.494 -2.222 3.929
-5.593 0.155 5.129
ATOMIC_POSITIONS crystal
Na 0.823 0.177 0.000
Na 0.177 0.823 0.000
Hf 0.000 0.000 0.500
Ta 0.369 0.631 0.500
Ta 0.631 0.369 0.500
Se 0.741 0.741 0.743
Se 0.050 0.401 0.701
Se 0.259 0.259 0.257
Se 0.401 0.050 0.701
Se 0.950 0.599 0.299
Se 0.599 0.950 0.299
```


Entry 2:
Pm6CoIr2I3 | PBE | relaxed Values from VASP.

Values from the calculation:
- Fermi-level density of states (states/eV per cell) = 2.863
- final energy (eV per atom) = -5.670
- raw formation energy (kJ/mol of formula units) = -971
- magnetization (μB per formula unit) = 0.000
- space group = C2/m (12)

Cell and atoms, written as Quantum ESPRESSO input:
```
&SYSTEM
  ibrav = 0, nat = 12, ntyp = 4
/
ATOMIC_SPECIES
Pm 145.00 Pm.upf
Co 58.93 Co.upf
Ir 192.22 Ir.upf
I 126.90 I.upf
CELL_PARAMETERS angstrom
7.181 -0.002 0.001
-3.590 6.219 0.001
-1.197 -2.072 8.059
ATOMIC_POSITIONS crystal
Pm 0.939 0.615 0.818
Pm 0.736 0.736 0.183
Pm 0.061 0.385 0.182
Pm 0.615 0.939 0.818
Pm 0.264 0.264 0.817
Pm 0.385 0.061 0.182
Co 0.000 0.000 0.000
Ir 0.333 0.667 0.000
Ir 0.667 0.333 0.000
I 0.167 0.833 0.500
I 0.833 0.167 0.500
I 0.500 0.500 0.500
```